## CrReNO2 (GGA+U)

Data for a relaxed structure of CrReNO2.

abc: 3.858 3.858 3.965
angles: 90.00 90.00 90.00
Space group P4/mmm (No. 123)
Inequivalent atoms, fractional coordinates:
Cr: 0.000 0.000 0.000 x1
Re: 0.500 0.500 0.500 x1
N: 0.500 0.500 0.000 x1
O: 0.000 0.500 0.500 x2

Computed properties:
The value obtained for the density of states at the Fermi level is 1.90 states/eV/cell. The total energy comes out at -8.23 eV per atom. The value obtained for the density is 8.00 g/cm³. The calculation puts the total magnetization at 0.90 μB per atom.